## CaHS2Cl (PBE)

Data for a geometry-optimized CaHS2Cl structure.

```
data_CaHS2Cl
_chemical_formula_sum 'Ca1 H1 S2 Cl1'
_symmetry_space_group_name_H-M 'P 1'
_symmetry_Int_Tables_number 1
_cell_length_a 3.892
_cell_length_b 3.892
_cell_length_c 5.627
_cell_angle_alpha 90.00
_cell_angle_beta 90.00
_cell_angle_gamma 90.00
loop_
_symmetry_equiv_pos_as_xyz
'x,y,z'
loop_
_atom_site_label
_atom_site_type_symbol
_atom_site_fract_x
_atom_site_fract_y
_atom_site_fract_z
Ca1 Ca 0.000 0.000 0.000
H1 H 0.500 0.500 0.500
S1 S 0.000 0.500 0.500
S2 S 0.500 0.000 0.500
Cl1 Cl 0.500 0.500 0.000
```

Output
Final energy in eV per atom: -3.685
Crystal system: tetragonal
Distance to the lowest polymorph of the same formula in eV/atom: 0.0000